1.
Computed, not measured: crystalline Sm8Ag2Pd at its relaxed geometry at the PBE level of DFT.

Values from the calculation:
Space-group type = No. 12
ΔH_f (0 K) = -203 meV/atom
Total moment = 0.0 μB/f.u.
Mass density = 7.9 g cm⁻³

a b c (Å): 5.2407 6.9587 9.3820
angles (deg): 102.61 106.22 90.00
Fractional positions:
Sm: 0.4105 0.5506 0.8211
Sm: 0.0261 0.7770 0.0522
Sm: 0.9739 0.2230 0.9478
Ag: 0.8112 0.2599 0.6225
Sm: 0.5895 0.4494 0.1789
Sm: 0.2008 0.3246 0.4016
Pd: 0.5000 0.0000 0.0000
Sm: 0.3398 0.0262 0.6795
Sm: 0.6602 0.9738 0.3205
Sm: 0.7992 0.6754 0.5984
Ag: 0.1888 0.7401 0.3775

2.
Computed, not measured: crystalline Sm4AgPd at its relaxed geometry at the PBE level of DFT.

Values from the calculation:
Space-group type = No. 216
ΔH_f (0 K) = -382 meV/atom
Total moment = 0.0 μB/f.u.
Mass density = 8.1 g cm⁻³
Offset from the most stable computed form = 0 meV/atom

a b c (Å): 9.7972 9.7972 9.7972
angles (deg): 60.00 60.00 60.00
Fractional positions:
Ag: 0.1664 0.5009 0.1664
Sm: 0.3926 0.3926 0.8222
Pd: 0.6043 0.6043 0.6043
Sm: 0.1847 0.8153 0.8153
Sm: 0.9394 0.5606 0.5606
Sm: 0.5606 0.9394 0.9394
Sm: 0.5606 0.5606 0.9394
Sm: 0.8222 0.3926 0.3926
Pd: 0.6043 0.6043 0.1871
Sm: 0.3926 0.3926 0.3926
Ag: 0.5009 0.1664 0.1664
Sm: 0.9394 0.5606 0.9394
Sm: 0.8153 0.1847 0.8153
Ag: 0.1664 0.1664 0.1664
Sm: 0.5606 0.9394 0.5606
Pd: 0.1871 0.6043 0.6043
Ag: 0.1664 0.1664 0.5009
Sm: 0.3926 0.8222 0.3926
Sm: 0.9394 0.9394 0.5606
Sm: 0.1847 0.8153 0.1847
Sm: 0.8153 0.8153 0.1847
Pd: 0.6043 0.1871 0.6043
Sm: 0.1847 0.1847 0.8153
Sm: 0.8153 0.1847 0.1847

3.
Computed, not measured: crystalline Sm4Ag3Pd at its relaxed geometry at the PBE level of DFT.

Values from the calculation:
Space-group type = No. 25
ΔH_f (0 K) = -406 meV/atom
Total moment = 0.0 μB/f.u.
Mass density = 8.3 g cm⁻³

a b c (Å): 3.8514 4.8379 11.0548
angles (deg): 90.00 90.00 90.00
Fractional positions:
Sm: 0.5000 0.5000 0.3492
Ag: 0.0000 0.5000 0.5782
Ag: 0.0000 0.0000 0.4194
Sm: 0.5000 0.0000 0.6433
Sm: 0.0000 0.0000 0.1380
Sm: 0.0000 0.5000 0.8690
Pd: 0.5000 0.5000 0.0816
Ag: 0.5000 0.0000 0.9214

4.
Computed, not measured: crystalline Sm3AgPd2 at its relaxed geometry at the PBE level of DFT.

Values from the calculation:
Space-group type = No. 164
ΔH_f (0 K) = -609 meV/atom
Total moment = 0.0 μB/f.u.
Mass density = 9.0 g cm⁻³
Offset from the most stable computed form = 0 meV/atom

a b c (Å): 5.1160 5.1160 12.6178
angles (deg): 90.00 90.00 120.00
Fractional positions:
Pd: 0.0000 0.0000 0.0000
Sm: 0.0000 0.0000 0.7574
Sm: 0.3333 0.6667 0.4174
Sm: 0.6667 0.3333 0.0767
Ag: 0.3333 0.6667 0.6711
Sm: 0.3333 0.6667 0.9233
Pd: 0.3333 0.6667 0.1736
Pd: 0.0000 0.0000 0.5000
Pd: 0.6667 0.3333 0.8264
Ag: 0.6667 0.3333 0.3289
Sm: 0.6667 0.3333 0.5826
Sm: 0.0000 0.0000 0.2426

5.
Computed, not measured: crystalline Sm3Ag2Pd8 at its relaxed geometry at the PBE level of DFT.

Values from the calculation:
Space-group type = No. 166
ΔH_f (0 K) = -434 meV/atom
Total moment = 0.0 μB/f.u.
Mass density = 9.7 g cm⁻³

a b c (Å): 5.3689 5.3689 10.8505
angles (deg): 75.68 75.68 60.00
Fractional positions:
Pd: 0.7337 0.7337 0.3033
Pd: 0.2663 0.7707 0.6967
Pd: 0.2663 0.2663 0.6967
Pd: 0.2293 0.7337 0.3033
Sm: 0.0000 0.0000 0.0000
Sm: 0.8107 0.8107 0.5678
Pd: 0.7337 0.2293 0.3033
Pd: 0.7219 0.7219 0.8344
Sm: 0.1893 0.1893 0.4322
Pd: 0.7707 0.2663 0.6967
Ag: 0.3619 0.3619 0.9143
Ag: 0.6381 0.6381 0.0857
Pd: 0.2781 0.2781 0.1656

6.
Computed, not measured: crystalline Sm8AgPd2 at its relaxed geometry at the PBE level of DFT.

Values from the calculation:
Space-group type = No. 8
ΔH_f (0 K) = -222 meV/atom
Total moment = 0.0 μB/f.u.
Mass density = 7.8 g cm⁻³
Offset from the most stable computed form = 103 meV/atom

a b c (Å): 5.7419 8.0892 8.0892
angles (deg): 115.49 98.98 98.98
Fractional positions:
Sm: 0.8131 0.6182 0.6182
Sm: 0.5868 0.3351 0.0896
Ag: 0.0028 0.0030 0.0030
Sm: 0.4125 0.6709 0.9165
Pd: 0.4997 0.7033 0.3028
Sm: 0.9997 0.7687 0.2376
Pd: 0.4997 0.3028 0.7033
Sm: 0.4125 0.9165 0.6709
Sm: 0.9997 0.2376 0.7687
Sm: 0.1862 0.3881 0.3881
Sm: 0.5868 0.0896 0.3351